1.
CoB2Os | GGA-PBE | optimized geometry

The formation energy comes out at 0.089 eV per atom. The polymorph energy (0 for the lowest one) comes out at 0.0 meV per atom. The total magnetization comes out at 0.00 Bohr magnetons per cell.

It has space group Fm-3m (No. 225), with a = 5.242 Å, b = 5.242 Å, c = 5.242 Å, α = 90.00°, β = 90.00° and γ = 90.00°. Symmetry generates all atoms from Co at (0.000, 0.000, 0.000), B at (0.250, 0.250, 0.250) and Os at (0.000, 0.000, 0.500).

2.
GaCu5Au4 | GGA-PBE | optimized geometry

The formation energy comes out at -0.003 eV per atom. The polymorph energy (0 for the lowest one) comes out at 57.2 meV per atom. The total magnetization comes out at 0.00 Bohr magnetons per cell.

It has space group Pmmn (No. 59, origin choice 2), with a = 7.790 Å, b = 8.691 Å, c = 4.601 Å, α = 90.00°, β = 90.00° and γ = 90.00°. Symmetry generates all atoms from Ga at (0.250, 0.250, 0.194), Cu at (0.086, 0.508, 0.233), Cu at (0.250, 0.750, 0.062), Au at (0.063, 0.750, 0.570) and Au at (0.250, 0.058, 0.738).

3.
PmReN3 | GGA-PBE | optimized geometry

The uncorrected formation energy comes out at -600 meV/atom. The total magnetization comes out at 0.00 Bohr magnetons per cell.

It has space group Pm-3m (No. 221), with a = 3.943 Å, b = 3.943 Å, c = 3.943 Å, α = 90.00°, β = 90.00° and γ = 90.00°. Symmetry generates all atoms from Pm at (0.000, 0.000, 0.000), Re at (0.500, 0.500, 0.500) and N at (0.000, 0.500, 0.500).

4.
AcHo2Pt | GGA-PBE | optimized geometry

The formation energy comes out at -0.399 eV per atom. The polymorph energy (0 for the lowest one) comes out at 197.4 meV per atom. The total magnetization comes out at 0.00 Bohr magnetons per cell.

It has space group R-3m (No. 166, hexagonal axes), with a = 3.9499 Å, b = 3.9499 Å, c = 31.8588 Å, α = 90.00°, β = 90.00° and γ = 120.00°. Symmetry generates all atoms from Ac at (0.0000, 0.0000, 0.0000), Ho at (0.0000, 0.0000, 0.1173) and Pt at (0.0000, 0.0000, 0.5000).

5.
Mn2CuRe | GGA-PBE | optimized geometry

The formation energy comes out at 0.271 eV per atom. The polymorph energy (0 for the lowest one) comes out at 138.6 meV per atom. The total magnetization comes out at 3.89 Bohr magnetons per cell.

It has space group R-3m (No. 166, hexagonal axes), with a = 2.6292 Å, b = 2.6292 Å, c = 25.3556 Å, α = 90.00°, β = 90.00° and γ = 120.00°. Symmetry generates all atoms from Mn at (0.0000, 0.0000, 0.2501), Cu at (0.0000, 0.0000, 0.0000) and Re at (0.0000, 0.0000, 0.5000).

6.
PIrSe2 | GGA-PBE | optimized geometry

The uncorrected formation energy comes out at 187 meV/atom. The total magnetization comes out at 0.00 Bohr magnetons per cell.

It has space group P4mm (No. 99), with a = 2.806 Å, b = 2.806 Å, c = 11.266 Å, α = 90.00°, β = 90.00° and γ = 90.00°. Symmetry generates all atoms from P at (0.000, 0.000, 0.000), Ir at (0.500, 0.500, 0.877), Se at (0.000, 0.000, 0.676) and Se at (0.500, 0.500, 0.332).

7.
BaIn4Ag2Au | GGA-PBE | optimized geometry

The formation energy comes out at -0.215 eV per atom. The total magnetization comes out at 0.00 Bohr magnetons per cell.

It has space group R-3m (No. 166, hexagonal axes), with a = 4.8031 Å, b = 4.8031 Å, c = 31.4459 Å, α = 90.00°, β = 90.00° and γ = 120.00°. Symmetry generates all atoms from Ba at (0.0000, 0.0000, 0.0000), In at (0.0000, 0.0000, 0.1310), In at (0.0000, 0.0000, 0.4054), Ag at (0.0000, 0.0000, 0.2459) and Au at (0.0000, 0.0000, 0.5000).

8.
Mg6RhAu5 | GGA-PBE | optimized geometry

The formation energy comes out at -0.587 eV per atom. The total magnetization comes out at 0.00 Bohr magnetons per cell.

It has space group P2/m (No. 10), with a = 4.545 Å, b = 6.762 Å, c = 7.144 Å, α = 90.00°, β = 107.23° and γ = 90.00°. Symmetry generates all atoms from Mg at (0.000, 0.244, 0.000), Mg at (0.338, 0.243, 0.674), Rh at (0.500, 0.000, 0.000), Au at (0.163, 0.000, 0.328), Au at (0.170, 0.500, 0.341) and Au at (0.500, 0.500, 0.000).

9.
SrCoIr2 | GGA-PBE | optimized geometry

The formation energy comes out at 0.593 eV per atom. The polymorph energy (0 for the lowest one) comes out at 665.1 meV per atom. The total magnetization comes out at 3.31 Bohr magnetons per cell.

It has space group Cmmm (No. 65), with a = 5.681 Å, b = 8.493 Å, c = 2.819 Å, α = 90.00°, β = 90.00° and γ = 90.00°. Symmetry generates all atoms from Sr at (0.000, 0.000, 0.000), Co at (0.000, 0.500, 0.000) and Ir at (0.250, 0.250, 0.500).

10.
SrAlB3 | GGA-PBE | optimized geometry

The formation energy comes out at 2.832 eV per atom. The polymorph energy (0 for the lowest one) comes out at 1744.1 meV per atom. The total magnetization comes out at 0.00 Bohr magnetons per cell.

It has space group Pm-3m (No. 221), with a = 4.882 Å, b = 4.882 Å, c = 4.882 Å, α = 90.00°, β = 90.00° and γ = 90.00°. Symmetry generates all atoms from Sr at (0.000, 0.000, 0.000), Al at (0.500, 0.500, 0.500) and B at (0.000, 0.000, 0.500).

11.
Li3Nd2AlNi12 | GGA-PBE | optimized geometry

The formation energy comes out at 0.084 eV per atom. The total magnetization comes out at 9.36 Bohr magnetons per cell.

It has space group R-3m (No. 166, hexagonal axes), with a = 5.1962 Å, b = 5.1962 Å, c = 33.9640 Å, α = 90.00°, β = 90.00° and γ = 120.00°. Symmetry generates all atoms from Li at (0.0000, 0.5000, 0.0000), Nd at (0.0000, 0.0000, 0.1395), Al at (0.0000, 0.0000, 0.5000), Ni at (0.0116, 0.5058, 0.1076) and Ni at (0.0229, 0.5115, 0.6114).

12.
TcNiP2Se | GGA-PBE | optimized geometry

The uncorrected formation energy comes out at -157 meV/atom. The polymorph energy (0 for the lowest one) comes out at 133.4 meV per atom. The total magnetization comes out at 0.00 Bohr magnetons per cell.

It has space group Cm (No. 8), with a = 7.887 Å, b = 3.151 Å, c = 6.953 Å, α = 90.00°, β = 116.73° and γ = 90.00°. Symmetry generates all atoms from Tc at (0.000, 0.000, 0.000), Ni at (0.001, 0.000, 0.385), P at (0.184, 0.500, 0.310), P at (0.333, 0.000, 0.112) and Se at (0.111, 0.500, 0.728).

13.
Na6Tl5Ag | GGA-PBE | optimized geometry

The formation energy comes out at -0.078 eV per atom. The total magnetization comes out at 0.00 Bohr magnetons per cell.

It has space group P-1 (No. 2), with a = 4.652 Å, b = 9.052 Å, c = 9.104 Å, α = 64.42°, β = 75.50° and γ = 75.38°. Symmetry generates all atoms from Na at (0.000, 0.250, 0.250), Na at (0.334, 0.412, 0.420), Na at (0.334, 0.920, 0.912), Tl at (0.150, 0.850, 0.351), Tl at (0.166, 0.334, 0.832), Tl at (0.500, 0.500, 0.000) and Ag at (0.500, 0.000, 0.500).

14.
TaAlCu3 | GGA-PBE | optimized geometry

The formation energy comes out at 1.471 eV per atom. The polymorph energy (0 for the lowest one) comes out at 619.6 meV per atom. The total magnetization comes out at 0.00 Bohr magnetons per cell.

It has space group Pm-3m (No. 221), with a = 4.789 Å, b = 4.789 Å, c = 4.789 Å, α = 90.00°, β = 90.00° and γ = 90.00°. Symmetry generates all atoms from Ta at (0.000, 0.000, 0.000), Al at (0.500, 0.500, 0.500) and Cu at (0.000, 0.000, 0.500).

15.
ScTl2Te | GGA-PBE | optimized geometry

The uncorrected formation energy comes out at 92 meV/atom. The polymorph energy (0 for the lowest one) comes out at 512.0 meV per atom. The total magnetization comes out at 0.00 Bohr magnetons per cell.

It has space group Fm-3m (No. 225), with a = 7.694 Å, b = 7.694 Å, c = 7.694 Å, α = 90.00°, β = 90.00° and γ = 90.00°. Symmetry generates all atoms from Sc at (0.000, 0.000, 0.000), Tl at (0.250, 0.250, 0.250) and Te at (0.000, 0.000, 0.500).

16.
InCoHg2 | GGA-PBE | optimized geometry

The formation energy comes out at 0.349 eV per atom. The total magnetization comes out at 1.45 Bohr magnetons per cell.

It has space group P4/mmm (No. 123), with a = 3.112 Å, b = 3.112 Å, c = 8.569 Å, α = 90.00°, β = 90.00° and γ = 90.00°. Symmetry generates all atoms from In at (0.000, 0.000, 0.000), Co at (0.000, 0.000, 0.500) and Hg at (0.500, 0.500, 0.302).

17.
Er12Hg3C5 | GGA-PBE | optimized geometry

The formation energy comes out at -0.197 eV per atom. The total magnetization comes out at 0.00 Bohr magnetons per cell.

It has space group Ia-3d (No. 230), with a = 15.647 Å, b = 15.647 Å, c = 15.647 Å, α = 90.00°, β = 90.00° and γ = 90.00°. Symmetry generates all atoms from Er at (0.035, 0.053, 0.649), Hg at (0.000, 0.250, 0.125), C at (0.000, 0.000, 0.000) and C at (0.000, 0.250, 0.375).

18.
Rb2BiAs2Pd | GGA-PBE | optimized geometry

The formation energy comes out at -0.269 eV per atom. The total magnetization comes out at 0.00 Bohr magnetons per cell.

It has space group Ibam (No. 72), with a = 7.526 Å, b = 14.124 Å, c = 7.352 Å, α = 90.00°, β = 90.00° and γ = 90.00°. Symmetry generates all atoms from Rb at (0.204, 0.185, 0.000), Bi at (0.000, 0.500, 0.250), As at (0.207, 0.063, 0.500) and Pd at (0.000, 0.000, 0.250).

19.
LiTl2SnF | GGA-PBE | optimized geometry

The uncorrected formation energy comes out at -818 meV/atom. The total magnetization comes out at 0.00 Bohr magnetons per cell.

It has space group P4/mmm (No. 123), with a = 6.040 Å, b = 6.040 Å, c = 3.442 Å, α = 90.00°, β = 90.00° and γ = 90.00°. Symmetry generates all atoms from Li at (0.000, 0.000, 0.000), Tl at (0.000, 0.500, 0.000), Sn at (0.500, 0.500, 0.500) and F at (0.000, 0.000, 0.500).

20.
GaH3 | GGA-PBE | optimized geometry

The uncorrected energy is -3.07 eV/atom. The total magnetization comes out at 0.00 Bohr magnetons per cell.

It has space group Amm2 (No. 38), with a = 2.844 Å, b = 6.660 Å, c = 5.505 Å, α = 90.00°, β = 90.00° and γ = 90.00°. Symmetry generates all atoms from Ga at (0.000, 0.000, 0.000), H at (0.000, 0.210, 0.124) and H at (0.500, 0.000, 0.815).

21.
CuSO2 | GGA-PBE | optimized geometry

The uncorrected formation energy comes out at 121 meV/atom. The total magnetization comes out at 0.00 Bohr magnetons per cell.

It has space group I-42d (No. 122), with a = 4.069 Å, b = 4.069 Å, c = 11.448 Å, α = 90.00°, β = 90.00° and γ = 90.00°. Symmetry generates all atoms from Cu at (0.000, 0.000, 0.000), S at (0.000, 0.000, 0.500) and O at (0.227, 0.250, 0.625).